Entry from the Alexandria database: a relaxed structure of FeSiAs (PBE-GGA).

Structure (CIF):
```
data_FeSiAs
_chemical_formula_sum 'Fe1 Si1 As1'
_cell_length_a 4.4163
_cell_length_b 4.4163
_cell_length_c 2.6057
_cell_angle_alpha 90.00
_cell_angle_beta 90.00
_cell_angle_gamma 120.00
_symmetry_space_group_name_H-M 'P 3 m 1'
_symmetry_Int_Tables_number 156
loop_
_symmetry_equiv_pos_as_xyz
'x,y,z'
'-y,x-y,z'
'-x+y,-x,z'
'-y,-x,z'
'-x+y,y,z'
'x,x-y,z'
loop_
_atom_site_label
_atom_site_type_symbol
_atom_site_fract_x
_atom_site_fract_y
_atom_site_fract_z
Fe1 Fe 0.0000 0.0000 0.0000
Si1 Si 0.3333 0.6667 0.0051
As1 As 0.6667 0.3333 0.9995
```

Output
**Final energy**: -0.2169 Ha/atom
**Formation energy (no corrections)**: 275 meV per atom

***

Entry from the Alexandria database: a relaxed structure of FeSiAs (PBE-GGA).

Structure (CIF):
```
data_FeSiAs
_chemical_formula_sum 'Fe4 Si4 As4'
_cell_length_a 5.548
_cell_length_b 5.548
_cell_length_c 5.548
_cell_angle_alpha 90.00
_cell_angle_beta 90.00
_cell_angle_gamma 90.00
_symmetry_space_group_name_H-M 'F -4 3 m'
_symmetry_Int_Tables_number 216
_symmetry_space_group_name_Hall 'F -4 2 3'
loop_
_atom_site_label
_atom_site_type_symbol
_atom_site_fract_x
_atom_site_fract_y
_atom_site_fract_z
Fe1 Fe 0.000 0.000 0.000
Si1 Si 0.250 0.250 0.250
As1 As 0.250 0.250 0.750
```

Output
**Final energy**: -0.2298 Ha/atom
**Formation energy (no corrections)**: -75 meV per atom

***

Entry from the Alexandria database: a relaxed structure of FeSi2As (PBE-GGA).

Structure (CIF):
```
data_FeSi2As
_chemical_formula_sum 'Fe2 Si4 As2'
_cell_length_a 7.490
_cell_length_b 2.968
_cell_length_c 5.466
_cell_angle_alpha 90.00
_cell_angle_beta 105.68
_cell_angle_gamma 90.00
_symmetry_space_group_name_H-M 'C 1 2/m 1'
_symmetry_Int_Tables_number 12
loop_
_symmetry_equiv_pos_as_xyz
'x,y,z'
'-x,-y,-z'
'-x,y,-z'
'x,-y,z'
'x+1/2,y+1/2,z'
'-x+1/2,-y+1/2,-z'
'-x+1/2,y+1/2,-z'
'x+1/2,-y+1/2,z'
loop_
_atom_site_label
_atom_site_type_symbol
_atom_site_fract_x
_atom_site_fract_y
_atom_site_fract_z
Fe1 Fe 0.000 0.000 0.000
Si1 Si 0.241 0.500 0.180
As1 As 0.000 0.500 0.500
```

Output
**Polymorph energy (0 for the lowest one)**: 0.190 eV per atom
**Final energy**: -0.2134 Ha/atom
**Formation energy (no corrections)**: 183 meV per atom